*w*
# Ca2YCr GGA-PBEsol relaxed
data_Ca2YCr
_chemical_formula_sum 'Ca2 Y1 Cr1'
_cell_length_a 3.4387
_cell_length_b 5.4846
_cell_length_c 6.3242
_cell_angle_alpha 90.00
_cell_angle_beta 100.29
_cell_angle_gamma 90.00
_space_group_name_H-M_alt 'P 1 2/m 1'
_space_group_IT_number 10
_space_group_name_Hall '-P 2y'
loop_
_atom_site_label
_atom_site_type_symbol
_atom_site_fract_x
_atom_site_fract_y
_atom_site_fract_z
_atom_site_occupancy
Ca1 Ca 0.2081 0.0000 0.2616 1
Y1 Y 0.5000 0.5000 0.0000 1
Cr1 Cr 0.0000 0.5000 0.5000 1
# - Density of states at the Fermi level: 1.00 states/eV per atom
# - Total moment: 4.526 μB per cell

*x*
# Ca2YCr GGA-PBEsol relaxed
data_Ca2YCr
_chemical_formula_sum 'Ca2 Y1 Cr1'
_cell_length_a 3.6761
_cell_length_b 3.6761
_cell_length_c 8.8716
_cell_angle_alpha 90.00
_cell_angle_beta 90.00
_cell_angle_gamma 90.00
_space_group_name_H-M_alt 'P 4/m m m'
_space_group_IT_number 123
_space_group_name_Hall '-P 4 2'
loop_
_atom_site_label
_atom_site_type_symbol
_atom_site_fract_x
_atom_site_fract_y
_atom_site_fract_z
_atom_site_occupancy
Ca1 Ca 0.0000 0.0000 0.2101 1
Y1 Y 0.5000 0.5000 0.5000 1
Cr1 Cr 0.5000 0.5000 0.0000 1
# - Density of states at the Fermi level: 0.99 states/eV per atom
# - Total moment: 3.871 μB per cell

*x* has the most favorable energy; the next structure is 43 meV per atom above.